Entry 1:
A plane-wave DFT calculation with GGA-PBE was carried out for a geometry-optimized LaCe2Pd structure.

Structure (extended XYZ):
```
4
Lattice="3.681 0.000 0.000 0.000 3.681 0.000 0.000 0.000 7.971" Properties=species:S:1:pos:R:3 pbc="T T T"
Ce 0.000 0.000 6.376
Ce 0.000 0.000 1.596
La 1.841 1.841 3.986
Pd 1.841 1.841 0.000
```

Values from the calculation:
The relative energy among the computed polymorphs is 0.000 eV/atom. The calculation puts the energy of formation at -255 meV/atom. For the total energy, the calculation gives -5.752 eV/atom.

***

Entry 2:
A plane-wave DFT calculation with GGA-PBE was carried out for a geometry-optimized Tb2Nd3Tm4 structure.

Structure (extended XYZ):
```
18
Lattice="-2.623 -2.594 -4.774 5.512 -8.640 -4.551 -4.201 -10.263 1.668" Properties=species:S:1:pos:R:3 pbc="T T T"
Nd -2.800 -5.262 -3.420
Nd 1.488 -16.234 -4.237
Nd 1.052 -9.924 -3.309
Nd -1.895 -17.877 -5.298
Nd 0.583 -3.619 -2.360
Nd -2.364 -11.572 -4.349
Tm -0.159 -15.745 -7.269
Tm -1.441 -14.881 -3.221
Tm -4.507 -10.603 -1.764
Tm -1.153 -5.751 -0.389
Tm 0.129 -6.615 -4.437
Tm -5.279 -13.386 -3.696
Tm 3.195 -10.893 -5.894
Tm 3.967 -8.110 -3.962
Tb -0.654 -9.396 -6.334
Tb -0.658 -12.100 -1.323
Tb -1.891 -8.525 -2.316
Tb 0.579 -12.971 -5.342
```

Values from the calculation:
The relative energy among the computed polymorphs is 0.082 eV/atom. The calculation puts the energy of formation at 103 meV/atom. For the total energy, the calculation gives -4.503 eV/atom.

***

Entry 3:
A plane-wave DFT calculation with GGA-PBE was carried out for a geometry-optimized TbSmIr structure.

Structure (extended XYZ):
```
18
Lattice="7.481 0.000 0.000 0.000 9.323 0.000 -3.740 -4.662 6.473" Properties=species:S:1:pos:R:3 pbc="T T T"
Tb 0.918 0.001 4.782
Tb 0.112 0.000 0.000
Tb 0.918 4.661 4.782
Tb 4.658 0.001 1.691
Tb 0.112 4.662 0.000
Tb 4.658 4.661 1.691
Sm 3.422 -2.331 3.824
Sm -1.164 -2.331 6.472
Sm -0.316 2.331 2.647
Sm -0.319 6.992 2.648
Sm 2.576 6.992 0.001
Sm 3.424 2.331 3.826
Ir -1.844 0.001 4.314
Ir 1.896 0.001 2.158
Ir 1.896 4.660 2.158
Ir 1.893 -2.331 6.471
Ir -1.844 4.660 4.314
Ir 5.633 6.992 0.001
```

Values from the calculation:
The relative energy among the computed polymorphs is 0.006 eV/atom. The calculation puts the energy of formation at -619 meV/atom. For the total energy, the calculation gives -6.689 eV/atom.

***

Entry 4:
A plane-wave DFT calculation with GGA-PBE was carried out for a geometry-optimized CaPr2Si2 structure.

Structure (extended XYZ):
```
10
Lattice="4.427 0.000 0.000 0.000 7.744 0.000 0.000 0.000 7.744" Properties=species:S:1:pos:R:3 pbc="T T T"
Pr 2.214 2.489 1.383
Pr 2.214 1.383 5.255
Pr 2.214 6.361 2.489
Pr 2.214 5.255 6.361
Si 0.000 0.857 3.014
Si 0.000 6.886 4.729
Si 0.000 3.014 6.886
Si 0.000 4.729 0.857
Ca 0.000 0.000 0.000
Ca 0.000 3.872 3.872
```

Values from the calculation:
Its uncorrected formation energy is -0.6458 eV per atom. For the total energy, the calculation gives -5.127 eV/atom.

***

Entry 5:
A plane-wave DFT calculation with GGA-PBE was carried out for a geometry-optimized Ba2H6Os structure.

Structure (extended XYZ):
```
9
Lattice="-1.628 3.445 -4.235 -5.539 0.969 -0.914 -2.231 5.107 1.180" Properties=species:S:1:pos:R:3 pbc="T T T"
H -6.100 4.563 -3.781
H -6.442 5.507 -0.707
H -5.176 2.608 -1.377
H -2.955 4.013 -3.262
H -4.222 6.913 -2.592
H -3.298 4.957 -0.188
Os 0.000 0.000 0.000
Ba -2.349 2.380 -0.992
Ba -7.048 7.140 -2.977
```

Values from the calculation:
For the total energy, the calculation gives -4.453 eV/atom.

***

Entry 6:
A plane-wave DFT calculation with GGA-PBE was carried out for a geometry-optimized BaAg2PdW structure.

Structure (extended XYZ):
```
5
Lattice="5.548 0.000 0.000 0.000 5.167 0.000 0.000 0.000 5.548" Properties=species:S:1:pos:R:3 pbc="T T T"
Pd 0.000 2.584 0.000
Ag 0.000 0.000 2.774
Ag 2.774 0.000 0.000
Ba 0.000 0.000 0.000
W 2.774 2.584 2.774
```

Values from the calculation:
The calculation puts the energy of formation at 2375 meV/atom. For the total energy, the calculation gives -2.780 eV/atom.

***

Entry 7:
A plane-wave DFT calculation with GGA-PBE was carried out for a geometry-optimized Pa2Tl2Cl2O5 structure.

Structure (extended XYZ):
```
11
Lattice="4.326 0.000 0.000 0.000 4.326 0.000 -2.163 -2.163 13.305" Properties=species:S:1:pos:R:3 pbc="T T T"
Tl 2.163 2.163 4.621
Tl 0.000 0.000 8.685
O 2.163 0.000 10.946
O 0.000 2.163 2.360
O 0.000 2.163 10.946
O 0.000 0.000 0.000
O 2.163 0.000 2.360
Cl 2.163 2.163 8.249
Cl 0.000 0.000 5.056
Pa 0.000 0.000 2.111
Pa 2.163 2.163 11.194
```

Values from the calculation:
Its uncorrected formation energy is -2.5707 eV per atom. For the total energy, the calculation gives -7.317 eV/atom.

***

Entry 8:
A plane-wave DFT calculation with GGA-PBE was carried out for a geometry-optimized ZnSeSCl2 structure.

Structure (extended XYZ):
```
5
Lattice="-3.430 1.605 -2.578 -2.900 -0.578 3.499 1.064 5.025 1.712" Properties=species:S:1:pos:R:3 pbc="T T T"
Cl -1.450 -0.289 1.749
Cl -1.715 0.802 -1.289
S 0.532 2.513 0.856
Zn 0.000 0.000 0.000
Se -2.633 3.026 1.317
```

Values from the calculation:
The relative energy among the computed polymorphs is 0.000 eV/atom. Its uncorrected formation energy is 0.1575 eV per atom. For the total energy, the calculation gives -2.358 eV/atom.

***

Density readings, ordered: 8.079; 8.197; 11.068; 4.730; 5.983; 6.716; 6.813; 3.615 g/cm3